CdHg2AuI | PBE-GGA | relaxed

Energy relative to the elements, uncorrected = -0.068 eV per atom
Space-group type = No. 123
Final energy = -6.7 eV for the cell shown

Unit cell a=5.433 b=5.433 c=5.453 alpha=90.00 beta=90.00 gamma=90.00
Element x y z (fractional)
I  0.500  0.500  0.500
Au  0.000  0.000  0.000
Hg  0.000  0.500  0.000
Hg  0.500  0.000  0.000
Cd  0.000  0.000  0.500